No. 1
IrBr | the Alexandria database | PBE-GGA | optimized geometry; magnetization = 0.000 μB/f.u.; energy relative to the elements, uncorrected = 0.267 eV/atom; raw total energy = -5.00 eV/atom; density = 9.330 Mg/m³; SG = No. 12
1.0
-4.555 -3.243 2.151
2.165 -3.169 -0.192
5.600 2.880 15.609
Ir Br
8 8
Direct
0.644 0.000 0.261
0.356 0.000 0.739
0.644 0.500 0.761
0.356 0.500 0.239
0.917 0.000 0.710
0.083 0.000 0.290
0.917 0.500 0.210
0.083 0.500 0.790
0.672 0.000 0.404
0.328 0.000 0.596
0.672 0.500 0.904
0.328 0.500 0.096
0.779 0.000 0.115
0.221 0.000 0.885
0.779 0.500 0.615
0.221 0.500 0.385

=====

No. 2
BeAl2Mo | the Alexandria database | PBE-GGA | optimized geometry; magnetization = 0.000 μB/f.u.; raw total energy = -5.26 eV/atom; density = 4.616 Mg/m³; formation energy = 1.0 eV/f.u.; SG = No. 122
1.0
6.772 0.000 0.000
0.000 6.772 0.000
3.386 3.386 2.493
Be Mo Al
2 2 4
Direct
0.500 0.500 0.000
0.250 0.750 0.500
0.000 0.000 0.000
0.750 0.250 0.500
0.577 0.125 0.250
0.173 0.625 0.250
0.375 0.423 0.750
0.875 0.827 0.750

=====

No. 3
TbB2 | the Alexandria database | PBE-GGA | optimized geometry; magnetization = 0.000 μB/f.u.; raw total energy = -6.37 eV/atom; density = 7.972 Mg/m³; formation energy = -1.1 eV/f.u.; SG = No. 141
1.0
3.516 0.000 -0.790
-0.178 3.512 -0.790
-0.432 -0.455 6.295
Tb B
2 4
Direct
0.750 0.250 0.500
0.000 0.000 0.000
0.172 0.672 0.345
0.578 0.578 0.155
0.328 0.828 0.655
0.422 0.422 0.845

=====

No. 4
Ac4PmTe5 | the Alexandria database | PBE-GGA | optimized geometry; magnetization = 0.000 μB/f.u.; energy relative to the elements, uncorrected = -1.472 eV/atom; raw total energy = -5.16 eV/atom; density = 7.754 Mg/m³; SG = No. 166
1.0
-3.906 -0.570 -2.532
-3.276 -3.049 1.399
-10.899 12.532 9.650
Ac Pm Te
4 1 5
Direct
0.897 0.897 0.309
0.299 0.299 0.103
0.701 0.701 0.897
0.103 0.103 0.691
0.500 0.500 0.500
0.402 0.402 0.794
0.000 0.000 0.000
0.598 0.598 0.206
0.804 0.804 0.589
0.196 0.196 0.411

=====

No. 5
PbBr2 | the Alexandria database | PBE-GGA | optimized geometry; magnetization = 0.000 μB/f.u.; energy relative to the elements, uncorrected = -0.887 eV/atom; raw total energy = -3.24 eV/atom; density = 6.138 Mg/m³; SG = No. 62
1.0
4.754 0.000 0.000
0.000 8.147 0.000
0.000 0.000 10.254
Br Pb
8 4
Direct
0.250 0.002 0.848
0.750 0.498 0.348
0.250 0.502 0.652
0.750 0.998 0.152
0.250 0.140 0.407
0.750 0.360 0.907
0.250 0.640 0.093
0.750 0.860 0.593
0.250 0.734 0.432
0.750 0.766 0.932
0.250 0.234 0.068
0.750 0.266 0.568

=====

No. 6
HgPd4Pt5 | the Alexandria database | PBE-GGA | optimized geometry; magnetization = 0.000 μB/f.u.; raw total energy = -4.96 eV/atom; density = 14.893 Mg/m³; formation energy = 1.7 eV/f.u.; SG = No. 2
1.0
4.784 0.699 -0.132
-1.167 7.279 0.384
-0.331 1.956 5.115
Hg Pd Pt
1 4 5
Direct
0.500 0.000 0.000
0.666 0.339 0.087
0.004 0.994 0.256
0.334 0.661 0.913
0.996 0.006 0.744
0.184 0.332 0.341
0.142 0.346 0.814
0.858 0.654 0.186
0.500 0.000 0.500
0.816 0.668 0.659